This record from the Alexandria database describes crystalline SmCdGeAu at its relaxed geometry. The functional is GGA-PBE.

Cell lengths 7.0733, 7.0733, 7.0733 Å; angles 90.00, 90.00, 90.00 degrees
Sites, in units of the cell vectors:
Sm 0.0000 0.0000 0.0000
Sm 0.0000 0.5000 0.5000
Sm 0.5000 0.0000 0.5000
Sm 0.5000 0.5000 0.0000
Cd 0.0000 0.0000 0.5000
Cd 0.0000 0.5000 0.0000
Cd 0.5000 0.0000 0.0000
Cd 0.5000 0.5000 0.5000
Ge 0.2500 0.2500 0.2500
Ge 0.2500 0.7500 0.7500
Ge 0.7500 0.2500 0.7500
Ge 0.7500 0.7500 0.2500
Au 0.2500 0.2500 0.7500
Au 0.2500 0.7500 0.2500
Au 0.7500 0.2500 0.2500
Au 0.7500 0.7500 0.7500

total magnetic moment	0.000	μB per atom
DOS(E_F)	6.9	states/eV/cell
calculated formation energy	-11.5	kcal/mol of atoms